[1]
This record from Alexandria describes an optimized crystal structure of Cs2LaTcS. The functional is PBE. Values from VASP.

Output
Raw formation energy, eV/f.u.: 4.4

```
&SYSTEM
  ibrav = 0, nat = 5, ntyp = 4
/
ATOMIC_SPECIES
Cs 132.91 Cs.upf
La 138.91 La.upf
Tc 98.00 Tc.upf
S 32.06 S.upf
ATOMIC_POSITIONS angstrom
Cs 0.000 4.037 0.000
Cs 4.037 0.000 0.000
La 0.000 0.000 0.000
Tc 4.037 4.037 2.644
S 0.000 0.000 2.644
CELL_PARAMETERS angstrom
8.075 0.000 0.000
0.000 8.075 0.000
0.000 0.000 5.289
```

[2]
This record from Alexandria describes an optimized crystal structure of AcNd3Sm. The functional is PBE. Values from VASP.

Output
Energy relative to the elements, eV per atom: 0.04

```
&SYSTEM
  ibrav = 0, nat = 10, ntyp = 3
/
ATOMIC_SPECIES
Ac 227.00 Ac.upf
Nd 144.24 Nd.upf
Sm 150.36 Sm.upf
ATOMIC_POSITIONS angstrom
Ac 4.221 0.000 2.654
Ac 16.416 0.000 5.927
Nd 2.080 0.000 7.550
Nd 7.769 0.000 4.153
Nd 7.504 0.000 7.928
Nd 13.133 0.000 0.653
Nd 12.868 0.000 4.427
Nd 18.557 0.000 1.031
Sm -1.287 0.000 6.140
Sm 21.923 0.000 2.440
CELL_PARAMETERS angstrom
11.478 -1.883 0.000
11.478 1.883 0.000
-2.319 0.000 8.581
```

[3]
This record from Alexandria describes an optimized crystal structure of NaInCuF6. The functional is PBE. Values from VASP.

Output
Raw formation energy, eV/f.u.: -20.1

```
&SYSTEM
  ibrav = 0, nat = 18, ntyp = 4
/
ATOMIC_SPECIES
Na 22.99 Na.upf
In 114.82 In.upf
Cu 63.55 Cu.upf
F 19.00 F.upf
ATOMIC_POSITIONS angstrom
Na 0.000 0.000 0.000
Na 0.000 0.000 4.868
In 0.000 3.180 2.434
In 2.754 1.590 7.302
Cu 0.000 3.180 7.302
Cu 2.754 1.590 2.434
F -0.950 1.723 6.203
F -1.737 3.085 8.401
F 0.950 1.723 8.401
F -0.787 4.731 6.203
F 1.967 0.039 1.335
F 1.017 1.684 3.533
F 1.737 3.085 6.203
F 0.787 4.731 8.401
F 3.540 0.039 3.533
F 1.804 3.047 1.335
F 4.491 1.684 1.335
F 3.704 3.047 3.533
CELL_PARAMETERS angstrom
5.507 0.000 0.000
-2.754 4.770 0.000
0.000 0.000 9.736
```

[4]
This record from Alexandria describes an optimized crystal structure of CsGa2CuTc. The functional is PBE. Values from VASP.

Output
Energy relative to the elements, eV per atom: 2.15

```
&SYSTEM
  ibrav = 0, nat = 5, ntyp = 4
/
ATOMIC_SPECIES
Cs 132.91 Cs.upf
Ga 69.72 Ga.upf
Cu 63.55 Cu.upf
Tc 98.00 Tc.upf
ATOMIC_POSITIONS angstrom
Cs 0.000 0.000 0.000
Ga 0.000 2.924 0.000
Ga 2.924 0.000 0.000
Cu 0.000 0.000 2.620
Tc 2.924 2.924 2.620
CELL_PARAMETERS angstrom
5.847 0.000 0.000
0.000 5.847 0.000
0.000 0.000 5.240
```

[5]
This record from Alexandria describes an optimized crystal structure of NaLiAs2S4. The functional is PBE. Values from VASP.

Output
Raw formation energy, eV/f.u.: -4.8

```
&SYSTEM
  ibrav = 0, nat = 8, ntyp = 4
/
ATOMIC_SPECIES
Na 22.99 Na.upf
Li 6.94 Li.upf
As 74.92 As.upf
S 32.06 S.upf
ATOMIC_POSITIONS angstrom
Na 0.000 0.000 0.000
Li 2.804 2.722 0.099
As 2.864 5.303 2.510
As 5.631 2.886 2.473
S 2.416 3.003 2.793
S 2.796 5.501 0.319
S 5.174 5.136 3.041
S 5.480 2.833 0.279
CELL_PARAMETERS angstrom
5.562 0.000 0.000
0.018 5.662 0.000
2.408 2.541 5.680
```

[6]
This record from Alexandria describes an optimized crystal structure of TbLuCdCu. The functional is PBE. Values from VASP.

Output
Energy relative to the elements, eV per atom: -0.23

```
&SYSTEM
  ibrav = 0, nat = 4, ntyp = 4
/
ATOMIC_SPECIES
Tb 158.93 Tb.upf
Lu 174.97 Lu.upf
Cd 112.41 Cd.upf
Cu 63.55 Cu.upf
ATOMIC_POSITIONS angstrom
Tb 0.000 0.000 0.000
Lu 3.590 3.590 3.590
Cd 5.384 5.384 5.384
Cu 1.795 1.795 1.795
CELL_PARAMETERS angstrom
0.000 3.590 3.590
3.590 0.000 3.590
3.590 3.590 0.000
```

no.,density of states at the Fermi level (states/eV/f.u.),total DFT energy (no corrections) (Ha/atom)
1,9.852,-0.1230
2,8.837,-0.1684
3,6.916,-0.1611
4,3.038,-0.0779
5,0.000,-0.1554
6,3.870,-0.1387